# 1
This record from the Alexandria database describes crystalline YFeW2 at its relaxed geometry. The functional is GGA-PBE.

Structure (POSCAR):
```
YFeW2
1.0
-1.918 1.918 4.804
1.918 -1.918 4.804
1.918 1.918 -4.804
Y Fe W
1 1 2
Cartesian
0.000 0.000 0.000 Y
0.000 0.000 4.804 Fe
1.918 0.000 2.402 W
0.000 1.918 2.402 W
```

## Properties
Total DFT energy (no corrections) (eV/atom): -9.603
Space group: I4/mmm, No. 139
Offset from the most stable computed form (meV per atom): 282
N(E_F) (states/eV per cell): 3.37
Crystal system: tetragonal
Formation enthalpy at 0 K (kJ per mole of atoms): 58.42
Mass density (g/cm³): 12.04


# 2
This record from the Alexandria database describes crystalline YFeW2 at its relaxed geometry. The functional is GGA-PBE.

Structure (POSCAR):
```
YFeW2
1.0
3.197 0.000 0.000
0.000 3.197 0.000
0.000 0.000 6.977
Y Fe W
1 1 2
Cartesian
0.000 0.000 0.000 Y
1.598 1.598 2.040 Fe
0.000 0.000 3.387 W
1.598 1.598 4.855 W
```

## Properties
Total DFT energy (no corrections) (eV/atom): -9.885
Space group: P4mm, No. 99
Offset from the most stable computed form (meV per atom): 0
N(E_F) (states/eV per cell): 4.24
Crystal system: tetragonal
Formation enthalpy at 0 K (kJ per mole of atoms): 31.19
Mass density (g/cm³): 11.93


# 3
This record from the Alexandria database describes crystalline Y2FeW at its relaxed geometry. The functional is GGA-PBE.

Structure (POSCAR):
```
Y2FeW
1.0
3.266 0.000 0.000
0.000 4.000 0.000
-1.427 0.000 6.861
Y Fe W
2 1 1
Cartesian
0.000 0.000 0.000 Y
0.204 2.000 4.225 Y
1.384 2.000 1.561 Fe
1.945 0.000 2.591 W
```

## Properties
Total DFT energy (no corrections) (eV/atom): -8.211
Space group: Pm, No. 6
Offset from the most stable computed form (meV per atom): 161
N(E_F) (states/eV per cell): 1.67
Crystal system: monoclinic
Formation enthalpy at 0 K (kJ per mole of atoms): 36.14
Mass density (g/cm³): 7.73


# 4
This record from the Alexandria database describes crystalline YFeW at its relaxed geometry. The functional is GGA-PBE.

Structure (POSCAR):
```
YFeW
1.0
0.000 4.180 4.643
2.686 0.000 4.643
2.686 4.180 0.000
Y Fe W
2 2 2
Cartesian
2.686 1.444 4.643 Y
2.686 6.915 4.643 Y
1.343 2.090 2.321 Fe
4.029 6.269 6.964 Fe
2.686 4.180 3.101 W
2.686 4.180 6.184 W
```

## Properties
Total DFT energy (no corrections) (eV/atom): -9.017
Space group: Fmmm, No. 69
Offset from the most stable computed form (meV per atom): 4
N(E_F) (states/eV per cell): 6.30
Crystal system: orthorhombic
Formation enthalpy at 0 K (kJ per mole of atoms): 26.64
Mass density (g/cm³): 10.47


# 5
This record from the Alexandria database describes crystalline Y2FeW at its relaxed geometry. The functional is GGA-PBE.

Structure (POSCAR):
```
Y2FeW
1.0
0.000 3.424 3.424
3.424 0.000 3.424
3.424 3.424 0.000
Y Fe W
2 1 1
Cartesian
0.000 0.000 0.000 Y
1.712 1.712 1.712 Y
3.424 3.424 3.424 Fe
5.137 5.137 5.137 W
```

## Properties
Total DFT energy (no corrections) (eV/atom): -7.900
Space group: F-43m, No. 216
Offset from the most stable computed form (meV per atom): 472
N(E_F) (states/eV per cell): 7.88
Crystal system: cubic
Formation enthalpy at 0 K (kJ per mole of atoms): 66.16
Mass density (g/cm³): 8.63


# 6
This record from the Alexandria database describes crystalline Y2FeW at its relaxed geometry. The functional is GGA-PBE.

Structure (POSCAR):
```
Y2FeW
1.0
4.994 0.000 0.000
0.000 4.994 0.000
0.000 0.000 3.428
Y Fe W
2 1 1
Cartesian
0.000 2.497 0.000 Y
2.497 0.000 0.000 Y
0.000 0.000 1.714 Fe
2.497 2.497 1.714 W
```

## Properties
Total DFT energy (no corrections) (eV/atom): -7.976
Space group: P4/mmm, No. 123
Offset from the most stable computed form (meV per atom): 397
N(E_F) (states/eV per cell): 8.45
Crystal system: tetragonal
Formation enthalpy at 0 K (kJ per mole of atoms): 58.90
Mass density (g/cm³): 8.11


# 7
This record from the Alexandria database describes crystalline Y2FeW at its relaxed geometry. The functional is GGA-PBE.

Structure (POSCAR):
```
Y2FeW
1.0
-1.687 2.463 5.226
1.687 -2.463 5.226
1.687 2.463 -5.226
Y Fe W
2 1 1
Cartesian
0.000 0.000 0.000 Y
0.000 2.463 2.234 Y
1.687 0.000 2.754 Fe
0.000 0.000 4.369 W
```

## Properties
Total DFT energy (no corrections) (eV/atom): -8.306
Space group: Imm2, No. 44
Offset from the most stable computed form (meV per atom): 67
N(E_F) (states/eV per cell): 4.32
Crystal system: orthorhombic
Formation enthalpy at 0 K (kJ per mole of atoms): 27.03
Mass density (g/cm³): 7.98


# 8
This record from the Alexandria database describes crystalline Y2FeW at its relaxed geometry. The functional is GGA-PBE.

Structure (POSCAR):
```
Y2FeW
1.0
1.591 0.918 9.601
-1.591 0.918 9.601
0.000 -1.837 9.601
Y Fe W
2 1 1
Cartesian
0.000 0.000 7.097 Y
0.000 0.000 21.705 Y
0.000 0.000 14.401 Fe
0.000 0.000 0.000 W
```

## Properties
Total DFT energy (no corrections) (eV/atom): -7.856
Space group: R-3m, No. 166
Offset from the most stable computed form (meV per atom): 517
N(E_F) (states/eV per cell): 6.68
Crystal system: trigonal
Formation enthalpy at 0 K (kJ per mole of atoms): 70.42
Mass density (g/cm³): 8.24


# 9
This record from the Alexandria database describes crystalline YFeW3 at its relaxed geometry. The functional is GGA-PBE.

Structure (POSCAR):
```
YFeW3
1.0
4.742 0.000 0.000
0.000 4.742 0.000
0.000 0.000 4.742
Y Fe W
1 1 3
Cartesian
0.000 0.000 0.000 Y
2.371 2.371 2.371 Fe
0.000 0.000 2.371 W
0.000 2.371 0.000 W
2.371 0.000 0.000 W
```

## Properties
Total DFT energy (no corrections) (eV/atom): -7.254
Space group: Pm-3m, No. 221
Offset from the most stable computed form (meV per atom): 2486
N(E_F) (states/eV per cell): 12.41
Crystal system: cubic
Formation enthalpy at 0 K (kJ per mole of atoms): 337.97
Mass density (g/cm³): 10.84


# 10
This record from the Alexandria database describes crystalline YFeW at its relaxed geometry. The functional is GGA-PBE.

Structure (POSCAR):
```
YFeW
1.0
-1.546 1.546 5.693
1.546 -1.546 5.693
1.546 1.546 -5.693
Y Fe W
1 1 1
Cartesian
0.000 0.000 0.000 Y
0.000 0.000 7.928 Fe
0.000 0.000 3.375 W
```

## Properties
Total DFT energy (no corrections) (eV/atom): -9.022
Space group: I4mm, No. 107
Offset from the most stable computed form (meV per atom): 0
N(E_F) (states/eV per cell): 3.57
Crystal system: tetragonal
Formation enthalpy at 0 K (kJ per mole of atoms): 26.22
Mass density (g/cm³): 10.02


# 11
This record from the Alexandria database describes crystalline Y2Fe2W at its relaxed geometry. The functional is GGA-PBE.

Structure (POSCAR):
```
Y2Fe2W
1.0
-1.635 1.635 9.269
1.635 -1.635 9.269
1.635 1.635 -9.269
Y Fe W
2 2 1
Cartesian
0.000 0.000 2.125 Y
0.000 0.000 16.413 Y
1.635 0.000 4.635 Fe
0.000 1.635 4.635 Fe
0.000 0.000 9.269 W
```

## Properties
Total DFT energy (no corrections) (eV/atom): -7.984
Space group: I4/mmm, No. 139
Offset from the most stable computed form (meV per atom): 412
N(E_F) (states/eV per cell): 6.88
Crystal system: tetragonal
Formation enthalpy at 0 K (kJ per mole of atoms): 55.70
Mass density (g/cm³): 7.93


# 12
This record from the Alexandria database describes crystalline Y2Fe2W at its relaxed geometry. The functional is GGA-PBE.

Structure (POSCAR):
```
Y2Fe2W
1.0
6.344 0.000 0.000
0.000 6.344 0.000
0.000 0.000 4.649
Y Fe W
4 4 2
Cartesian
1.161 2.012 0.000 Y
2.012 5.184 0.000 Y
4.333 1.161 0.000 Y
5.184 4.333 0.000 Y
0.774 3.946 2.325 Fe
2.398 0.774 2.325 Fe
3.946 5.570 2.325 Fe
5.570 2.398 2.325 Fe
0.000 0.000 2.325 W
3.172 3.172 2.325 W
```

## Properties
Total DFT energy (no corrections) (eV/atom): -8.396
Space group: P4/mbm, No. 127
Offset from the most stable computed form (meV per atom): 0
N(E_F) (states/eV per cell): 6.59
Crystal system: tetragonal
Formation enthalpy at 0 K (kJ per mole of atoms): 15.97
Mass density (g/cm³): 8.40


# 13
This record from the Alexandria database describes crystalline Y2FeW at its relaxed geometry. The functional is GGA-PBE.

Structure (POSCAR):
```
Y2FeW
1.0
-3.861 3.861 2.882
3.861 -3.861 2.882
3.861 3.861 -2.882
Y Fe W
4 2 2
Cartesian
5.791 1.670 -0.720 Y
1.670 1.930 0.720 Y
-1.930 2.191 2.161 Y
2.191 1.930 3.602 Y
0.000 0.000 0.000 Fe
0.000 3.861 1.441 Fe
3.861 0.000 1.441 W
0.000 0.000 2.882 W
```

## Properties
Total DFT energy (no corrections) (eV/atom): -7.623
Space group: I-42d, No. 122
Offset from the most stable computed form (meV per atom): 750
N(E_F) (states/eV per cell): 13.70
Crystal system: tetragonal
Formation enthalpy at 0 K (kJ per mole of atoms): 92.96
Mass density (g/cm³): 8.07


# 14
This record from the Alexandria database describes crystalline YFeW2 at its relaxed geometry. The functional is GGA-PBE.

Structure (POSCAR):
```
YFeW2
1.0
3.814 0.000 0.000
0.000 3.814 0.000
0.000 0.000 4.877
Y Fe W
1 1 2
Cartesian
0.000 0.000 0.000 Y
1.907 1.907 0.000 Fe
0.000 1.907 2.439 W
1.907 0.000 2.439 W
```

## Properties
Total DFT energy (no corrections) (eV/atom): -9.604
Space group: P4/mmm, No. 123
Offset from the most stable computed form (meV per atom): 281
N(E_F) (states/eV per cell): 4.57
Crystal system: tetragonal
Formation enthalpy at 0 K (kJ per mole of atoms): 58.29
Mass density (g/cm³): 11.99


# 15
This record from the Alexandria database describes crystalline YFeW at its relaxed geometry. The functional is GGA-PBE.

Structure (POSCAR):
```
YFeW
1.0
3.977 0.000 0.000
-1.989 3.445 0.000
0.000 0.000 4.463
Y Fe W
1 1 1
Cartesian
0.000 0.000 0.000 Y
0.000 2.296 2.231 Fe
1.989 1.148 2.231 W
```

## Properties
Total DFT energy (no corrections) (eV/atom): -8.977
Space group: P-6m2, No. 187
Offset from the most stable computed form (meV per atom): 44
N(E_F) (states/eV per cell): 3.48
Crystal system: hexagonal
Formation enthalpy at 0 K (kJ per mole of atoms): 30.50
Mass density (g/cm³): 8.92